Ni3OF5 at its PBEsol-relaxed geometry. Source: Alexandria via LeMat-Bulk, functional SCAN.

volume	10.47	Å³/atom
E_form (uncorrected)	-2.0259	eV per atom
total DFT energy (no corrections)	-10.08	eV per atom

Cell: 3.0069 6.4607 10.2924 Å, 109.58 90.00 90.00°
Fractional positions:
Ni: 0.0000 0.9833 0.9962
Ni: 0.5000 0.5283 0.0069
Ni: 0.5000 0.1629 0.3304
Ni: 0.0000 0.3299 0.6671
Ni: 0.0000 0.6760 0.3516
Ni: 0.5000 0.8255 0.6522
O: 0.0000 0.7041 0.0088
O: 0.5000 0.7521 0.4641
F: 0.5000 0.0902 0.1285
F: 0.0000 0.6269 0.6561
F: 0.0000 0.3029 0.9932
F: 0.0000 0.9586 0.3117
F: 0.5000 0.5842 0.2101
F: 0.5000 0.2418 0.5336
F: 0.5000 0.4111 0.7984
F: 0.0000 0.0363 0.6815
F: 0.0000 0.3671 0.3481
F: 0.5000 0.9186 0.8616